Record 1
VASP calculation (PBE) on LaSi4Ag after structural relaxation.

Summary:
VASP energy: -29.8 eV for the cell shown

```
6
Lattice="0.000 3.801 3.801 3.801 0.000 3.801 3.801 3.801 0.000" Properties=species:S:1:pos:R:3 pbc="T T T"
La 0.000 0.000 0.000
Si 4.726 2.877 2.877
Si 2.877 4.726 2.877
Si 2.877 2.877 4.726
Si 4.726 4.726 4.726
Ag 1.901 1.901 1.901
```

---

Record 2
VASP calculation (PBE) on LaSi2Ag2 after structural relaxation.

Summary:
VASP energy: -22.6 eV for the cell shown

```
5
Lattice="-2.263 2.263 5.082 2.263 -2.263 5.082 2.263 2.263 -5.082" Properties=species:S:1:pos:R:3 pbc="T T T"
La 0.000 0.000 0.000
Si 2.263 0.000 2.541
Si 0.000 2.263 2.541
Ag 0.000 0.000 3.724
Ag 0.000 0.000 6.440
```

---

Record 3
VASP calculation (PBE) on LaSiAg after structural relaxation.

Summary:
VASP energy: -28.8 eV for the cell shown

```
6
Lattice="5.279 -2.232 0.000 5.279 2.232 0.000 -0.982 0.000 6.545" Properties=species:S:1:pos:R:3 pbc="T T T"
La 0.000 0.000 0.000
La 6.720 0.000 3.773
Si 1.946 0.000 5.910
Si 3.755 0.000 4.448
Ag 3.254 0.000 1.856
Ag 9.858 0.000 3.190
```

---

| no. | total magnetic moment (μB per cell) |
| --- | --- |
| 1 | 0.0 |
| 2 | 0.0 |
| 3 | 0.0 |